VASP calculation (PBE-GGA) on a relaxed DyHf2Nb crystal.

Structure (CIF):
```
data_DyHf2Nb
_chemical_formula_sum 'Dy3 Hf6 Nb3'
_cell_length_a 3.1918
_cell_length_b 3.1918
_cell_length_c 31.3828
_cell_angle_alpha 90.00
_cell_angle_beta 90.00
_cell_angle_gamma 120.00
_symmetry_space_group_name_H-M 'R -3 m'
_symmetry_Int_Tables_number 166
_symmetry_space_group_name_Hall '-R 3 2"'
loop_
_atom_site_label
_atom_site_type_symbol
_atom_site_fract_x
_atom_site_fract_y
_atom_site_fract_z
Dy1 Dy 0.0000 0.0000 0.0000
Hf1 Hf 0.0000 0.0000 0.2422
Nb1 Nb 0.0000 0.0000 0.5000
```

Results
Energy above the most stable polymorph in this dataset: 12.1 kJ per mole of atoms
Calculated volume: 23.07 A^3/atom
DFT total energy: -8.403 eV per atom
E_form: 23.36 kJ/mol of atoms